Computed, not measured: a geometry-optimized Pr2Pd15Pt2 structure at the PBE level of DFT.

Unit cell a=9.1961 b=9.1961 c=13.6069 alpha=90.00 beta=90.00 gamma=120.00
Space group R-3m (No. 166, hexagonal axes)
Asymmetric unit:
Pr 0.0000 0.0000 0.1679 x6
Pd 0.0000 0.3003 0.5000 x18
Pd 0.0000 0.5000 0.0000 x9
Pd 0.0047 0.5023 0.6530 x18
Pt 0.0000 0.0000 0.3985 x6

Computed properties:
VASP energy = -316.16 eV per cell
Energy of formation = -29.73 kJ/mol of atoms


Computed, not measured: a geometry-optimized Pr3Pd2Pt structure at the PBE level of DFT.

Unit cell a=7.9785 b=7.9785 c=17.2926 alpha=90.00 beta=90.00 gamma=120.00
Space group R-3c (No. 167, hexagonal axes)
Asymmetric unit:
Pr 0.0000 0.3380 0.2500 x18
Pd 0.0000 0.0000 0.1681 x12
Pt 0.0000 0.0000 0.0000 x6

Computed properties:
VASP energy = -214.44 eV per cell
Energy of formation = -80.01 kJ/mol of atoms


Computed, not measured: a geometry-optimized Pr3Pd8Pt structure at the PBE level of DFT.

Unit cell a=5.4674 b=5.4674 c=26.9183 alpha=90.00 beta=90.00 gamma=120.00
Space group R3m (No. 160, hexagonal axes)
Asymmetric unit:
Pr 0.0000 0.0000 0.0000 x3
Pr 0.0000 0.0000 0.1326 x3
Pr 0.0000 0.0000 0.5271 x3
Pd 0.0000 0.0000 0.3222 x3
Pd 0.0000 0.0000 0.8222 x3
Pd 0.1671 0.3343 0.4053 x9
Pd 0.1682 0.3364 0.9053 x9
Pt 0.0000 0.0000 0.6444 x3

Computed properties:
VASP energy = -209.74 eV per cell
Energy of formation = -64.25 kJ/mol of atoms


Computed, not measured: a geometry-optimized Pr2Pd2Pt structure at the PBE level of DFT.

Unit cell a=7.527 b=7.527 c=8.003 alpha=90.00 beta=90.00 gamma=90.00
Space group P4/mnc (No. 128)
Asymmetric unit:
Pr 0.180 0.320 0.000 x8
Pd 0.128 0.628 0.250 x8
Pt 0.000 0.000 0.250 x4

Computed properties:
VASP energy = -119.93 eV per cell
Energy of formation = -77.14 kJ/mol of atoms


Computed, not measured: a geometry-optimized PrPd3Pt structure at the PBE level of DFT.

Unit cell a=5.248 b=7.721 c=9.535 alpha=90.00 beta=90.00 gamma=90.00
Space group Imma (No. 74)
Asymmetric unit:
Pr 0.000 0.250 0.001 x4
Pd 0.000 0.250 0.309 x4
Pd 0.250 0.061 0.750 x8
Pt 0.000 0.000 0.500 x4

Computed properties:
VASP energy = -116.82 eV per cell
Energy of formation = -54.17 kJ/mol of atoms


Computed, not measured: a geometry-optimized Pr2PdPt9 structure at the PBE level of DFT.

Unit cell a=5.4384 b=5.4384 c=26.5455 alpha=90.00 beta=90.00 gamma=120.00
Space group R-3m (No. 166, hexagonal axes)
Asymmetric unit:
Pr 0.0000 0.0000 0.1337 x6
Pd 0.0000 0.0000 0.0000 x3
Pt 0.0000 0.0000 0.3324 x6
Pt 0.0000 0.0000 0.5000 x3
Pt 0.0036 0.5018 0.9162 x18

Computed properties:
VASP energy = -226.72 eV per cell
Energy of formation = -51.90 kJ/mol of atoms


Computed, not measured: a geometry-optimized Pr3PdPt structure at the PBE level of DFT.

Unit cell a=8.459 b=4.009 c=8.626 alpha=90.00 beta=109.48 gamma=90.00
Space group P2_1/m (No. 11)
Asymmetric unit:
Pr 0.027 0.250 0.177 x2
Pr 0.230 0.750 0.569 x2
Pr 0.395 0.750 0.132 x2
Pd 0.398 0.250 0.405 x2
Pt 0.242 0.250 0.843 x2

Computed properties:
VASP energy = -58.59 eV per cell
Energy of formation = -71.86 kJ/mol of atoms


Computed, not measured: a geometry-optimized Pr2Pd3Pt3 structure at the PBE level of DFT.

Unit cell a=4.215 b=4.260 c=8.373 alpha=90.00 beta=90.00 gamma=90.00
Space group Pmmm (No. 47)
Asymmetric unit:
Pr 0.000 0.000 0.250 x2
Pd 0.000 0.500 0.000 x1
Pd 0.500 0.000 0.000 x1
Pd 0.500 0.000 0.500 x1
Pt 0.000 0.500 0.500 x1
Pt 0.500 0.500 0.251 x2

Computed properties:
VASP energy = -49.53 eV per cell
Energy of formation = -75.65 kJ/mol of atoms


Computed, not measured: a geometry-optimized Pr2PdPt2 structure at the PBE level of DFT.

Unit cell a=7.662 b=7.662 c=7.912 alpha=90.00 beta=90.00 gamma=90.00
Space group P4/mnc (No. 128)
Asymmetric unit:
Pr 0.174 0.326 0.000 x8
Pd 0.000 0.000 0.250 x4
Pt 0.130 0.630 0.250 x8

Computed properties:
VASP energy = -125.94 eV per cell
Energy of formation = -89.76 kJ/mol of atoms


Computed, not measured: a geometry-optimized Pr6PdPt3 structure at the PBE level of DFT.

Unit cell a=11.241 b=14.535 c=7.353 alpha=90.00 beta=90.00 gamma=90.00
Space group Cmc2_1 (No. 36)
Asymmetric unit:
Pr 0.000 0.009 0.000 x4
Pr 0.000 0.237 0.620 x4
Pr 0.167 0.269 0.058 x8
Pr 0.169 0.475 0.589 x8
Pd 0.000 0.156 0.264 x4
Pt 0.000 0.400 0.874 x4
Pt 0.182 0.112 0.786 x8

Computed properties:
VASP energy = -237.92 eV per cell
Energy of formation = -72.25 kJ/mol of atoms


Computed, not measured: a geometry-optimized PrPdPt3 structure at the PBE level of DFT.

Unit cell a=7.313 b=13.959 c=4.815 alpha=90.00 beta=90.00 gamma=90.00
Space group Cmcm (No. 63)
Asymmetric unit:
Pr 0.000 0.126 0.250 x4
Pd 0.000 0.331 0.250 x4
Pt 0.000 0.500 0.000 x4
Pt 0.171 0.258 0.750 x8

Computed properties:
VASP energy = -112.66 eV per cell
Energy of formation = -1.36 kJ/mol of atoms


Computed, not measured: a geometry-optimized PrPd2Pt structure at the PBE level of DFT.

Unit cell a=4.239 b=4.239 c=4.185 alpha=90.00 beta=90.00 gamma=90.00
Space group P4/mmm (No. 123)
Asymmetric unit:
Pr 0.000 0.000 0.000 x1
Pd 0.000 0.500 0.500 x2
Pt 0.500 0.500 0.000 x1

Computed properties:
VASP energy = -24.29 eV per cell
Energy of formation = -74.46 kJ/mol of atoms